Nd8Pd2Pt after structural relaxation. Source: Alexandria via LeMat-Bulk, functional PBE.

Unit cell a=8.585 b=13.196 c=6.352 alpha=90.00 beta=110.72 gamma=90.00
Space group Cm (No. 8)
Inequivalent atoms, fractional coordinates:
Nd (0.000, 0.000, 0.000) (multiplicity 2)
Nd (0.074, 0.369, 0.790) (multiplicity 4)
Nd (0.137, 0.131, 0.551) (multiplicity 4)
Nd (0.216, 0.500, 0.363) (multiplicity 2)
Nd (0.353, 0.203, 0.177) (multiplicity 4)
Pd (0.359, 0.312, 0.683) (multiplicity 4)
Pt (0.367, 0.000, 0.387) (multiplicity 2)

Calculated values
ΔE to the lowest computed polymorph: 92 meV/atom
calculated density: 7.7 Mg/m³
energy of formation from the pure elements: -377 meV per atom

---

NdPd4Pt after structural relaxation. Source: Alexandria via LeMat-Bulk, functional PBE.

Unit cell a=7.558 b=7.558 c=7.558 alpha=90.00 beta=90.00 gamma=90.00
Space group F-43m (No. 216)
Inequivalent atoms, fractional coordinates:
Nd (0.000, 0.000, 0.000) (multiplicity 4)
Pd (0.124, 0.124, 0.376) (multiplicity 16)
Pt (0.250, 0.250, 0.750) (multiplicity 4)

Calculated values
ΔE to the lowest computed polymorph: 0 meV/atom
calculated density: 11.8 Mg/m³
energy of formation from the pure elements: -459 meV per atom

---

Nd12Pd3Pt5 after structural relaxation. Source: Alexandria via LeMat-Bulk, functional PBE.

Unit cell a=17.244 b=17.244 c=17.244 alpha=90.00 beta=90.00 gamma=90.00
Space group Ia-3d (No. 230)
Inequivalent atoms, fractional coordinates:
Nd (0.021, 0.068, 0.651) (multiplicity 96)
Pd (0.000, 0.250, 0.125) (multiplicity 24)
Pt (0.000, 0.000, 0.000) (multiplicity 16)
Pt (0.000, 0.250, 0.375) (multiplicity 24)

Calculated values
calculated density: 7.8 Mg/m³
energy of formation from the pure elements: -491 meV per atom

---

Nd4PdPt3 after structural relaxation. Source: Alexandria via LeMat-Bulk, functional PBE.

Unit cell a=3.912 b=4.590 c=10.897 alpha=90.00 beta=90.00 gamma=90.00
Space group Pmm2 (No. 25)
Inequivalent atoms, fractional coordinates:
Nd (0.000, 0.000, 0.000) (multiplicity 1)
Nd (0.000, 0.500, 0.272) (multiplicity 1)
Nd (0.500, 0.000, 0.495) (multiplicity 1)
Nd (0.500, 0.500, 0.771) (multiplicity 1)
Pd (0.000, 0.000, 0.720) (multiplicity 1)
Pt (0.000, 0.500, 0.549) (multiplicity 1)
Pt (0.500, 0.000, 0.222) (multiplicity 1)
Pt (0.500, 0.500, 0.046) (multiplicity 1)

Calculated values
calculated density: 10.8 Mg/m³
energy of formation from the pure elements: -1071 meV per atom

---

Nd2Pd3Pt2 after structural relaxation. Source: Alexandria via LeMat-Bulk, functional PBE.

Unit cell a=8.388 b=8.388 c=8.388 alpha=90.00 beta=90.00 gamma=90.00
Space group I2_13 (No. 199)
Inequivalent atoms, fractional coordinates:
Nd (0.009, 0.491, 0.509) (multiplicity 8)
Pd (0.000, 0.250, 0.232) (multiplicity 12)
Pt (0.195, 0.305, 0.695) (multiplicity 8)

Calculated values
ΔE to the lowest computed polymorph: 7 meV/atom
calculated density: 11.2 Mg/m³
energy of formation from the pure elements: -649 meV per atom

---

Nd2Pd2Pt after structural relaxation. Source: Alexandria via LeMat-Bulk, functional PBE.

Unit cell a=4.4832 b=4.4832 c=20.3827 alpha=90.00 beta=90.00 gamma=120.00
Space group R-3m (No. 166, hexagonal axes)
Inequivalent atoms, fractional coordinates:
Nd (0.0000, 0.0000, 0.0915) (multiplicity 6)
Pd (0.0000, 0.0000, 0.3500) (multiplicity 6)
Pt (0.0000, 0.0000, 0.5000) (multiplicity 3)

Calculated values
calculated density: 9.8 Mg/m³
energy of formation from the pure elements: -837 meV per atom

---

NdPd10Pt2 after structural relaxation. Source: Alexandria via LeMat-Bulk, functional PBE.

Unit cell a=5.304 b=12.915 c=12.922 alpha=90.00 beta=90.00 gamma=90.00
Space group Fmmm (No. 69)
Inequivalent atoms, fractional coordinates:
Nd (0.000, 0.000, 0.000) (multiplicity 4)
Pd (0.000, 0.109, 0.391) (multiplicity 16)
Pd (0.000, 0.174, 0.175) (multiplicity 16)
Pd (0.250, 0.250, 0.000) (multiplicity 8)
Pt (0.250, 0.000, 0.250) (multiplicity 8)

Calculated values
calculated density: 12.0 Mg/m³
energy of formation from the pure elements: -253 meV per atom

---

Nd2Pd3Pt after structural relaxation. Source: Alexandria via LeMat-Bulk, functional PBE.

Unit cell a=3.696 b=4.670 c=7.648 alpha=90.00 beta=90.00 gamma=90.00
Space group Pmm2 (No. 25)
Inequivalent atoms, fractional coordinates:
Nd (0.000, 0.000, 0.000) (multiplicity 1)
Nd (0.000, 0.500, 0.488) (multiplicity 1)
Pd (0.500, 0.000, 0.666) (multiplicity 1)
Pd (0.500, 0.500, 0.163) (multiplicity 1)
Pd (0.500, 0.500, 0.818) (multiplicity 1)
Pt (0.500, 0.000, 0.324) (multiplicity 1)

Calculated values
ΔE to the lowest computed polymorph: 0 meV/atom
calculated density: 10.1 Mg/m³
energy of formation from the pure elements: -765 meV per atom

---

Nd7Pd2Pt2 after structural relaxation. Source: Alexandria via LeMat-Bulk, functional PBE.

Unit cell a=8.574 b=10.971 c=7.190 alpha=90.00 beta=90.00 gamma=90.00
Space group Cmmm (No. 65)
Inequivalent atoms, fractional coordinates:
Nd (0.000, 0.000, 0.000) (multiplicity 2)
Nd (0.000, 0.500, 0.255) (multiplicity 4)
Nd (0.250, 0.250, 0.262) (multiplicity 8)
Pd (0.223, 0.000, 0.500) (multiplicity 4)
Pt (0.000, 0.279, 0.000) (multiplicity 4)

Calculated values
calculated density: 7.9 Mg/m³
energy of formation from the pure elements: -508 meV per atom

---

Nd2PdPt5Rh2 after structural relaxation. Source: Alexandria via LeMat-Bulk, functional PBE.

Unit cell a=9.417 b=9.417 c=4.139 alpha=90.00 beta=90.00 gamma=90.00
Space group P4/mbm (No. 127)
Inequivalent atoms, fractional coordinates:
Nd (0.174, 0.326, 0.000) (multiplicity 4)
Pd (0.000, 0.000, 0.000) (multiplicity 2)
Pt (0.000, 0.500, 0.500) (multiplicity 2)
Pt (0.060, 0.798, 0.500) (multiplicity 8)
Rh (0.125, 0.625, 0.000) (multiplicity 4)

Calculated values
calculated density: 14.3 Mg/m³
energy of formation from the pure elements: -613 meV per atom

---

Nd2Sb3PdPt4 after structural relaxation. Source: Alexandria via LeMat-Bulk, functional PBE.

Unit cell a=4.508 b=4.508 c=10.806 alpha=90.00 beta=90.00 gamma=90.00
Space group P-4m2 (No. 115)
Inequivalent atoms, fractional coordinates:
Nd (0.000, 0.500, 0.247) (multiplicity 2)
Sb (0.000, 0.000, 0.000) (multiplicity 1)
Sb (0.000, 0.500, 0.632) (multiplicity 2)
Pd (0.500, 0.500, 0.000) (multiplicity 1)
Pt (0.000, 0.000, 0.500) (multiplicity 1)
Pt (0.000, 0.500, 0.867) (multiplicity 2)
Pt (0.500, 0.500, 0.500) (multiplicity 1)

Calculated values
calculated density: 11.6 Mg/m³
formation energy from raw total energies: -0.789 eV/atom

---

NdSbPdPt after structural relaxation. Source: Alexandria via LeMat-Bulk, functional PBE.

Unit cell a=6.962 b=6.962 c=6.962 alpha=90.00 beta=90.00 gamma=90.00
Space group F-43m (No. 216)
Inequivalent atoms, fractional coordinates:
Nd (0.000, 0.000, 0.000) (multiplicity 4)
Sb (0.000, 0.000, 0.500) (multiplicity 4)
Pd (0.250, 0.250, 0.750) (multiplicity 4)
Pt (0.250, 0.250, 0.250) (multiplicity 4)

Calculated values
calculated density: 11.2 Mg/m³
formation energy from raw total energies: -0.774 eV/atom

---

Repeat the second record exactly.
NdPd4Pt after structural relaxation. Source: Alexandria via LeMat-Bulk, functional PBE.

Unit cell a=7.558 b=7.558 c=7.558 alpha=90.00 beta=90.00 gamma=90.00
Space group F-43m (No. 216)
Inequivalent atoms, fractional coordinates:
Nd (0.000, 0.000, 0.000) (multiplicity 4)
Pd (0.124, 0.124, 0.376) (multiplicity 16)
Pt (0.250, 0.250, 0.750) (multiplicity 4)

Calculated values
ΔE to the lowest computed polymorph: 0 meV/atom
calculated density: 11.8 Mg/m³
energy of formation from the pure elements: -459 meV per atom